Computed, not measured: a relaxed La2MgN crystal at the PBE level of DFT.

Calculated values
* space group: No. 38
* ΔE_f (raw): -407 meV per atom
* E above lowest polymorph: 0.256 eV/atom

a = 3.5584 Å, b = 3.5584 Å, c = 9.3031 Å
α = 90.00°, β = 90.00°, γ = 119.59°
Closest atoms and distances in Å follow each position.
Atoms (fractional coordinates):
Mg1 0.8059 0.1941 0.0000  6 Mg 3.56-3.58, 6 La 3.69-3.73
N1 0.1323 0.8677 0.5000  6 La 2.58-2.60
La1 0.4640 0.5360 0.3307  3 N 2.58-2.60
La2 0.4640 0.5360 0.6693  3 N 2.58-2.60